This record from Alexandria via LeMat-Bulk describes a relaxed Ge2AsCl crystal. The functional is PBE.

The value obtained for the offset from the most stable computed form is 3 kJ/mol of formula units. As for the space-group type: Fm-3m, No. 225.

a = 4.8427 Å, b = 4.8427 Å, c = 4.8427 Å
α = 60.00°, β = 60.00°, γ = 60.00°
With the nearest neighbours (Å) after each atom.
Sites, in units of the cell vectors:
Cl 0.0000 0.0000 0.0000  8 Ge 2.97
As 0.5000 0.5000 0.5000  8 Ge 2.97
Ge 0.7500 0.7500 0.7500  4 Cl 2.97, 4 As 2.97
Ge 0.2500 0.2500 0.2500  4 Cl 2.97, 4 As 2.97

***

This record from Alexandria via LeMat-Bulk describes a relaxed Ge3AsCl crystal. The functional is PBE.

The value obtained for the offset from the most stable computed form is 108 kJ/mol of formula units. As for the space-group type: Pm-3m, No. 221.

a = 4.9823 Å, b = 4.9823 Å, c = 4.9823 Å
α = 90.00°, β = 90.00°, γ = 90.00°
With the nearest neighbours (Å) after each atom.
Sites, in units of the cell vectors:
Ge 0.0000 0.5000 0.0000  2 Cl 2.49
Ge 0.5000 0.0000 0.0000  2 Cl 2.49
As 0.5000 0.5000 0.5000  12 Ge 3.52
Ge 0.0000 0.0000 0.5000  2 Cl 2.49
Cl 0.0000 0.0000 0.0000  6 Ge 2.49

***

This record from Alexandria via LeMat-Bulk describes a relaxed Ge2As2Cl crystal. The functional is PBE.

As for the space-group type: I4/mmm, No. 139.

a = 4.0586 Å, b = 4.0586 Å, c = 7.4576 Å
α = 74.21°, β = 74.21°, γ = 90.00°
With the nearest neighbours (Å) after each atom.
Sites, in units of the cell vectors:
Ge 0.3865 0.3865 0.2271  4 As 2.77
As 0.2500 0.7500 0.5000  4 Ge 2.77, 4 As 2.87
Ge 0.6135 0.6135 0.7729  4 As 2.77
Cl 0.0000 0.0000 0.0000  8 Ge 3.27
As 0.7500 0.2500 0.5000  4 Ge 2.77, 4 As 2.87

***

This record from Alexandria via LeMat-Bulk describes a relaxed La4GeAs2Cl crystal. The functional is PBE.

As for the space-group type: P2/m, No. 10.

a = 4.3695 Å, b = 7.5358 Å, c = 7.5117 Å
α = 70.79°, β = 90.00°, γ = 90.00°
With the nearest neighbours (Å) after each atom.
Sites, in units of the cell vectors:
As 0.0000 0.0000 0.0000  6 La 3.08-3.09
La 0.5000 0.7525 0.2539  3 As 3.03-3.09, 2 Ge 3.08, 1 Cl 3.11
La 0.0000 0.7607 0.7375  3 As 3.02-3.08, 1 Ge 3.06, 2 Cl 3.16
Cl 0.5000 0.5000 0.0000  6 La 3.11-3.16
La 0.0000 0.2393 0.2625  3 As 3.01-3.08, 1 Ge 3.06, 2 Cl 3.16
As 0.5000 0.0000 0.5000  6 La 3.01-3.03
Ge 0.0000 0.5000 0.5000  6 La 3.06-3.08
La 0.5000 0.2475 0.7461  3 As 3.03-3.09, 2 Ge 3.08, 1 Cl 3.11

***

This record from Alexandria via LeMat-Bulk describes a relaxed La4GeAsCl2 crystal. The functional is PBE.

As for the space-group type: P2/m, No. 10.

a = 4.3601 Å, b = 7.3315 Å, c = 7.5608 Å
α = 69.94°, β = 90.00°, γ = 90.00°
With the nearest neighbours (Å) after each atom.
Sites, in units of the cell vectors:
La 0.5000 0.2630 0.7447  2 Ge 3.00, 1 As 3.01, 3 Cl 3.10-3.11
La 0.0000 0.7361 0.7532  1 Ge 2.99, 2 As 3.00, 3 Cl 3.10-3.11
Ge 0.0000 0.5000 0.5000  6 La 2.99-3.00
La 0.0000 0.2639 0.2468  1 Ge 2.99, 2 As 3.00, 3 Cl 3.10-3.11
Cl 0.0000 0.0000 0.0000  6 La 3.11
As 0.5000 0.5000 0.0000  6 La 3.00-3.01
Cl 0.5000 0.0000 0.5000  6 La 3.10
La 0.5000 0.7370 0.2553  2 Ge 3.00, 1 As 3.01, 3 Cl 3.10-3.11

***

This record from Alexandria via LeMat-Bulk describes a relaxed MgGeAsCl2 crystal. The functional is PBE.

As for the space-group type: P4/mmm, No. 123.

a = 5.0872 Å, b = 5.4506 Å, c = 5.0872 Å
α = 90.00°, β = 90.00°, γ = 90.00°
With the nearest neighbours (Å) after each atom.
Sites, in units of the cell vectors:
Cl 0.5000 0.0000 0.0000  2 Ge 2.54
Ge 0.0000 0.0000 0.0000  4 Cl 2.54, 2 Mg 2.73
As 0.5000 0.5000 0.5000  4 Mg 3.60, 8 Cl 3.73
Cl 0.0000 0.0000 0.5000  2 Ge 2.54
Mg 0.0000 0.5000 0.0000  2 Ge 2.73

***

This record from Alexandria via LeMat-Bulk describes a relaxed MnGeAs2Cl crystal. The functional is PBE.

As for the space-group type: P4/mmm, No. 123.

a = 4.5230 Å, b = 5.0393 Å, c = 4.5230 Å
α = 90.00°, β = 90.00°, γ = 90.00°
With the nearest neighbours (Å) after each atom.
Sites, in units of the cell vectors:
Cl 0.0000 0.5000 0.0000  2 Mn 2.52
As 0.0000 0.0000 0.5000  2 Mn 2.26
Mn 0.0000 0.0000 0.0000  4 As 2.26, 2 Cl 2.52
As 0.5000 0.0000 0.0000  2 Mn 2.26
Ge 0.5000 0.5000 0.5000  4 Cl 3.20, 8 As 3.39

***

This record from Alexandria via LeMat-Bulk describes a relaxed Nd6Ge2As3Cl crystal. The functional is PBE.

As for the space-group type: C2/m, No. 12.

a = 4.2389 Å, b = 8.6016 Å, c = 9.5432 Å
α = 102.94°, β = 102.83°, γ = 90.00°
With the nearest neighbours (Å) after each atom.
Sites, in units of the cell vectors:
Nd 0.6669 0.5849 0.3339  3 As 3.02-3.03, 3 Ge 3.05
As 0.8363 0.1648 0.6726  6 Nd 2.99-3.03
Ge 0.8352 0.6704 0.6704  6 Nd 2.97-3.05
As 0.5000 0.5000 0.0000  6 Nd 2.93-3.02
Nd 0.6700 0.0851 0.3399  3 As 3.00-3.01, 2 Ge 3.00, 1 Cl 3.08
Ge 0.1648 0.3296 0.3296  6 Nd 2.97-3.05
Cl 0.5000 0.0000 0.0000  6 Nd 3.08-3.11
As 0.1637 0.8352 0.3274  6 Nd 2.99-3.03
Nd 0.0012 0.2646 0.0024  3 As 2.93-2.99, 1 Ge 2.97, 2 Cl 3.11
Nd 0.3300 0.9149 0.6601  3 As 3.00-3.01, 2 Ge 3.00, 1 Cl 3.08
Nd 0.9988 0.7354 0.9976  3 As 2.93-2.99, 1 Ge 2.97, 2 Cl 3.11
Nd 0.3331 0.4151 0.6661  3 As 3.02-3.03, 3 Ge 3.05

***

Number 1: ΔE_f (raw) 2.6 kcal/mol of atoms. Number 2: ΔE_f (raw) 19.5 kcal/mol of atoms. Number 3: ΔE_f (raw) -0.2 kcal/mol of atoms. Number 4: ΔE_f (raw) -34.2 kcal/mol of atoms. Number 5: ΔE_f (raw) -34.7 kcal/mol of atoms. Number 6: ΔE_f (raw) 3.0 kcal/mol of atoms. Number 7: ΔE_f (raw) 8.9 kcal/mol of atoms. Number 8: ΔE_f (raw) -30.3 kcal/mol of atoms.